*w*
First-principles (PBE) data for an optimized crystal structure of Ti2Rh2Au, as listed in Alexandria via LeMat-Bulk.

It has space group P4/mbm (No. 127), with a = 7.458 Å, b = 7.458 Å, c = 2.900 Å, α = 90.00°, β = 90.00° and γ = 90.00°. The asymmetric unit holds Ti at (0.150, 0.350, 0.000), Rh at (0.143, 0.643, 0.500) and Au at (0.000, 0.000, 0.000).

The density of states at the Fermi level comes out at 0.874 states/eV/atom.

---

*x*
First-principles (PBE) data for an optimized crystal structure of Ti2Rh2Au, as listed in Alexandria via LeMat-Bulk.

It has space group Pmmn (No. 59, origin choice 2), with a = 2.945 Å, b = 4.529 Å, c = 11.989 Å, α = 90.00°, β = 90.00° and γ = 90.00°. The asymmetric unit holds Ti at (0.250, 0.250, 0.051), Ti at (0.250, 0.750, 0.356), Rh at (0.250, 0.250, 0.471), Rh at (0.250, 0.750, 0.133) and Au at (0.250, 0.750, 0.743).

The density of states at the Fermi level comes out at 0.927 states/eV/atom.

---

*y*
First-principles (PBE) data for an optimized crystal structure of Ti2Rh2Au, as listed in Alexandria via LeMat-Bulk.

It has space group P4/mbm (No. 127), with a = 7.316 Å, b = 7.316 Å, c = 2.970 Å, α = 90.00°, β = 90.00° and γ = 90.00°. The asymmetric unit holds Ti at (0.163, 0.337, 0.000), Rh at (0.136, 0.636, 0.500) and Au at (0.000, 0.000, 0.500).

The density of states at the Fermi level comes out at 0.788 states/eV/atom.

---

Least stable: *x*

---

*w*
First-principles (PBE) data for an optimized crystal structure of TiRhAu, as listed in Alexandria via LeMat-Bulk.

It has space group P-6m2 (No. 187), with a = 4.3794 Å, b = 4.3794 Å, c = 2.9036 Å, α = 90.00°, β = 90.00° and γ = 120.00°. The asymmetric unit holds Ti at (0.0000, 0.0000, 0.0000), Rh at (0.3333, 0.6667, 0.0000) and Au at (0.6667, 0.3333, 0.5000).

The density of states at the Fermi level comes out at 0.934 states/eV/atom.

---

*x*
First-principles (PBE) data for an optimized crystal structure of TiRhAu, as listed in Alexandria via LeMat-Bulk.

It has space group Imm2 (No. 44), with a = 3.123 Å, b = 3.409 Å, c = 9.047 Å, α = 90.00°, β = 90.00° and γ = 90.00°. The asymmetric unit holds Ti at (0.000, 0.000, 0.000), Rh at (0.000, 0.000, 0.632) and Au at (0.000, 0.000, 0.322).

The density of states at the Fermi level comes out at 0.467 states/eV/atom.

---

*y*
First-principles (PBE) data for an optimized crystal structure of TiRhAu, as listed in Alexandria via LeMat-Bulk.

It has space group Cmcm (No. 63), with a = 3.892 Å, b = 12.016 Å, c = 4.136 Å, α = 90.00°, β = 90.00° and γ = 90.00°. The asymmetric unit holds Ti at (0.000, 0.112, 0.250), Rh at (0.000, 0.251, 0.750) and Au at (0.000, 0.422, 0.250).

The density of states at the Fermi level comes out at 0.617 states/eV/atom.

---

Least stable: *w*

---

*w*
First-principles (PBE) data for an optimized crystal structure of Ti2RhAu2, as listed in Alexandria via LeMat-Bulk.

It has space group P4/mbm (No. 127), with a = 7.234 Å, b = 7.234 Å, c = 3.262 Å, α = 90.00°, β = 90.00° and γ = 90.00°. The asymmetric unit holds Ti at (0.172, 0.328, 0.000), Rh at (0.000, 0.000, 0.500) and Au at (0.133, 0.633, 0.500).

The density of states at the Fermi level comes out at 0.733 states/eV/atom.

---

*x*
First-principles (PBE) data for an optimized crystal structure of Ti2RhAu2, as listed in Alexandria via LeMat-Bulk.

It has space group P4/mbm (No. 127), with a = 6.670 Å, b = 6.670 Å, c = 3.953 Å, α = 90.00°, β = 90.00° and γ = 90.00°. The asymmetric unit holds Ti at (0.149, 0.351, 0.000), Rh at (0.000, 0.000, 0.000) and Au at (0.151, 0.651, 0.500).

The density of states at the Fermi level comes out at 1.007 states/eV/atom.

---

Least stable: *x*

---

*w*
First-principles (PBE) data for an optimized crystal structure of Tl2RhAu2, as listed in Alexandria via LeMat-Bulk.

It has space group P4/mbm (No. 127), with a = 7.176 Å, b = 7.176 Å, c = 4.265 Å, α = 90.00°, β = 90.00° and γ = 90.00°. The asymmetric unit holds Tl at (0.174, 0.326, 0.000), Rh at (0.000, 0.000, 0.500) and Au at (0.138, 0.638, 0.500).

The density of states at the Fermi level comes out at 1.094 states/eV/atom.

---

*x*
First-principles (PBE) data for an optimized crystal structure of Tl2RhAu2, as listed in Alexandria via LeMat-Bulk.

It has space group I4/mmm (No. 139), with a = 4.171 Å, b = 4.171 Å, c = 13.384 Å, α = 90.00°, β = 90.00° and γ = 90.00°. The asymmetric unit holds Tl at (0.000, 0.500, 0.250), Rh at (0.000, 0.000, 0.000) and Au at (0.000, 0.000, 0.404).

The density of states at the Fermi level comes out at 1.113 states/eV/atom.

---

Least stable: *x*

---

*w*
First-principles (PBE) data for an optimized crystal structure of TlRhAu, as listed in Alexandria via LeMat-Bulk.

It has space group I4mm (No. 107), with a = 3.205 Å, b = 3.205 Å, c = 10.906 Å, α = 90.00°, β = 90.00° and γ = 90.00°. The asymmetric unit holds Tl at (0.000, 0.000, 0.000), Rh at (0.000, 0.000, 0.346) and Au at (0.000, 0.000, 0.688).

The density of states at the Fermi level comes out at 0.509 states/eV/atom.

---

*x*
First-principles (PBE) data for an optimized crystal structure of TlRhAu, as listed in Alexandria via LeMat-Bulk.

It has space group Cmcm (No. 63), with a = 3.161 Å, b = 15.405 Å, c = 4.582 Å, α = 90.00°, β = 90.00° and γ = 90.00°. The asymmetric unit holds Tl at (0.000, 0.090, 0.250), Rh at (0.000, 0.433, 0.250) and Au at (0.000, 0.225, 0.750).

The density of states at the Fermi level comes out at 0.413 states/eV/atom.

---

Least stable: *w*

---

*w*
First-principles (PBE) data for an optimized crystal structure of Tl4RhAu, as listed in Alexandria via LeMat-Bulk.

It has space group C2/c (No. 15), with a = 8.070 Å, b = 12.882 Å, c = 5.923 Å, α = 90.00°, β = 99.65° and γ = 90.00°. The asymmetric unit holds Tl at (0.105, 0.176, 0.035), Tl at (0.198, 0.428, 0.407), Rh at (0.000, 0.002, 0.750) and Au at (0.000, 0.363, 0.750).

The density of states at the Fermi level comes out at 0.536 states/eV/atom.

---

*x*
First-principles (PBE) data for an optimized crystal structure of Tl4RhAu, as listed in Alexandria via LeMat-Bulk.

It has space group F-43m (No. 216), with a = 8.634 Å, b = 8.634 Å, c = 8.634 Å, α = 90.00°, β = 90.00° and γ = 90.00°. The asymmetric unit holds Tl at (0.125, 0.125, 0.125), Rh at (0.000, 0.000, 0.500) and Au at (0.250, 0.250, 0.750).

The density of states at the Fermi level comes out at 0.936 states/eV/atom.

---

Least stable: *x*

---

*w*
First-principles (PBE) data for an optimized crystal structure of TlRhAu2, as listed in Alexandria via LeMat-Bulk.

It has space group R-3m (No. 166, hexagonal axes), with a = 2.9927 Å, b = 2.9927 Å, c = 30.0940 Å, α = 90.00°, β = 90.00° and γ = 120.00°. The asymmetric unit holds Tl at (0.0000, 0.0000, 0.0000), Rh at (0.0000, 0.0000, 0.5000) and Au at (0.0000, 0.0000, 0.2411).

The density of states at the Fermi level comes out at 1.267 states/eV/atom.

---

*x*
First-principles (PBE) data for an optimized crystal structure of TlRhAu2, as listed in Alexandria via LeMat-Bulk.

It has space group Fm-3m (No. 225), with a = 6.651 Å, b = 6.651 Å, c = 6.651 Å, α = 90.00°, β = 90.00° and γ = 90.00°. The asymmetric unit holds Tl at (0.000, 0.000, 0.000), Rh at (0.000, 0.000, 0.500) and Au at (0.250, 0.250, 0.250).

The density of states at the Fermi level comes out at 0.622 states/eV/atom.

---

*y*
First-principles (PBE) data for an optimized crystal structure of TlRhAu2, as listed in Alexandria via LeMat-Bulk.

It has space group P4mm (No. 99), with a = 3.510 Å, b = 3.510 Å, c = 6.011 Å, α = 90.00°, β = 90.00° and γ = 90.00°. The asymmetric unit holds Tl at (0.000, 0.000, 0.000), Rh at (0.500, 0.500, 0.778), Au at (0.000, 0.000, 0.518) and Au at (0.500, 0.500, 0.288).

The density of states at the Fermi level comes out at 0.631 states/eV/atom.

---

*z*
First-principles (PBE) data for an optimized crystal structure of TlRhAu2, as listed in Alexandria via LeMat-Bulk.

It has space group I4/mmm (No. 139), with a = 4.018 Å, b = 4.018 Å, c = 9.149 Å, α = 90.00°, β = 90.00° and γ = 90.00°. The asymmetric unit holds Tl at (0.000, 0.000, 0.000), Rh at (0.000, 0.000, 0.500) and Au at (0.000, 0.500, 0.250).

The density of states at the Fermi level comes out at 0.650 states/eV/atom.

---

Least stable: *w*

---

*w*
First-principles (PBE) data for an optimized crystal structure of TlRhAu2, as listed in Alexandria via LeMat-Bulk.

It has space group C2/m (No. 12), with a = 5.581 Å, b = 10.393 Å, c = 3.119 Å, α = 90.00°, β = 123.51° and γ = 90.00°. The asymmetric unit holds Tl at (0.000, 0.000, 0.000), Rh at (0.000, 0.500, 0.000) and Au at (0.250, 0.250, 0.500).

The density of states at the Fermi level comes out at 0.252 states/eV/atom.

---

*x*
First-principles (PBE) data for an optimized crystal structure of TlRhAu2, as listed in Alexandria via LeMat-Bulk.

It has space group I-42d (No. 122), with a = 3.920 Å, b = 3.920 Å, c = 20.553 Å, α = 90.00°, β = 90.00° and γ = 90.00°. The asymmetric unit holds Tl at (0.000, 0.000, 0.000), Rh at (0.000, 0.000, 0.500) and Au at (0.242, 0.250, 0.625).

The density of states at the Fermi level comes out at 0.477 states/eV/atom.

---

Least stable: *x*

---

*w*
First-principles (PBE) data for an optimized crystal structure of TlRhAu2, as listed in Alexandria via LeMat-Bulk.

It has space group P4/mmm (No. 123), with a = 4.067 Å, b = 4.067 Å, c = 4.408 Å, α = 90.00°, β = 90.00° and γ = 90.00°. The asymmetric unit holds Tl at (0.000, 0.000, 0.000), Rh at (0.500, 0.500, 0.000) and Au at (0.000, 0.500, 0.500).

The density of states at the Fermi level comes out at 0.349 states/eV/atom.

---

*x*
First-principles (PBE) data for an optimized crystal structure of TlRhAu2, as listed in Alexandria via LeMat-Bulk.

It has space group P4/mmm (No. 123), with a = 3.265 Å, b = 3.265 Å, c = 7.239 Å, α = 90.00°, β = 90.00° and γ = 90.00°. The asymmetric unit holds Tl at (0.000, 0.000, 0.000), Rh at (0.000, 0.000, 0.500) and Au at (0.500, 0.500, 0.285).

The density of states at the Fermi level comes out at 1.258 states/eV/atom.

---

*y*
First-principles (PBE) data for an optimized crystal structure of TlRhAu2, as listed in Alexandria via LeMat-Bulk.

It has space group R3m (No. 160, hexagonal axes), with a = 3.1027 Å, b = 3.1027 Å, c = 27.1460 Å, α = 90.00°, β = 90.00° and γ = 120.00°. The asymmetric unit holds Tl at (0.0000, 0.0000, 0.0000), Rh at (0.0000, 0.0000, 0.7460), Au at (0.0000, 0.0000, 0.2418) and Au at (0.0000, 0.0000, 0.4917).

The density of states at the Fermi level comes out at 0.568 states/eV/atom.

---

*z*
First-principles (PBE) data for an optimized crystal structure of TlRhAu2, as listed in Alexandria via LeMat-Bulk.

It has space group Cm (No. 8), with a = 9.202 Å, b = 3.223 Å, c = 5.164 Å, α = 90.00°, β = 102.61° and γ = 90.00°. The asymmetric unit holds Tl at (0.000, 0.000, 0.000), Rh at (0.254, 0.000, 0.779), Au at (0.010, 0.500, 0.519) and Au at (0.259, 0.500, 0.292).

The density of states at the Fermi level comes out at 0.651 states/eV/atom.

---

Least stable: *y*

---

*w*
First-principles (PBE) data for an optimized crystal structure of Tm7Rh2Au2, as listed in Alexandria via LeMat-Bulk.

It has space group Cmmm (No. 65), with a = 7.846 Å, b = 10.532 Å, c = 6.942 Å, α = 90.00°, β = 90.00° and γ = 90.00°. The asymmetric unit holds Tm at (0.000, 0.000, 0.000), Tm at (0.000, 0.500, 0.252), Tm at (0.250, 0.250, 0.258), Rh at (0.000, 0.287, 0.000) and Au at (0.197, 0.000, 0.500).

The density of states at the Fermi level comes out at 0.899 states/eV/atom.

---

*x*
First-principles (PBE) data for an optimized crystal structure of Tm7Rh2Au2, as listed in Alexandria via LeMat-Bulk.

It has space group Imm2 (No. 44), with a = 3.752 Å, b = 15.353 Å, c = 9.381 Å, α = 90.00°, β = 90.00° and γ = 90.00°. The asymmetric unit holds Tm at (0.000, 0.000, 0.000), Tm at (0.000, 0.119, 0.579), Tm at (0.000, 0.315, 0.379), Tm at (0.000, 0.358, 0.739), Rh at (0.000, 0.244, 0.080), Au at (0.000, 0.000, 0.324) and Au at (0.000, 0.500, 0.251).

The density of states at the Fermi level comes out at 1.134 states/eV/atom.

---

Least stable: *w*